No. 1
Material: NaSc3Cr
Method: DFT, PBE
State: optimized geometry

Structure (POSCAR):
```
NaSc3Cr
1.0
4.960 0.000 0.000
0.000 4.960 0.000
0.000 0.000 4.960
Sc Na Cr
3 1 1
Cartesian
2.480 0.000 0.000
0.000 0.000 2.480
0.000 2.480 0.000
0.000 0.000 0.000
2.480 2.480 2.480
```

Properties
As for the raw total energy: -4.303 eV per atom. The formation energy comes out at 1.68 eV/atom. The calculation puts the size of the total moment at 0.008 Bohr magnetons per cell. As for the symmetry: No. 221. For the distance to the lowest polymorph of the same formula, the calculation gives 6.121 eV per formula unit.

No. 2
Material: Sm5Dy3
Method: DFT, PBE
State: optimized geometry

Structure (POSCAR):
```
Sm5Dy3
1.0
5.077 0.000 0.000
0.000 5.087 0.000
0.000 0.000 10.171
Sm Dy
5 3
Cartesian
0.000 0.000 5.086
0.000 2.544 7.616
0.000 2.544 2.556
2.538 2.544 0.000
0.000 0.000 0.000
2.538 2.544 5.086
2.538 0.000 2.556
2.538 0.000 7.615
```

Properties
As for the raw total energy: -4.656 eV per atom. The formation energy comes out at 0.02 eV/atom. The calculation puts the size of the total moment at 0.000 Bohr magnetons per cell. As for the symmetry: No. 47. For the distance to the lowest polymorph of the same formula, the calculation gives 0.000 eV per formula unit.

Which value of raw total energy does entry 2 give? -4.656 eV per atom

Number 2 is which compound? Sm5Dy3